(1)
The following is a GGA-PBE calculation of Ba6NaIn3 after structural relaxation, from Alexandria via LeMat-Bulk.

The structure in extended XYZ format:
```
20
Lattice="10.633 0.000 -0.301 0.000 7.373 0.000 -0.339 0.000 11.226" Properties=species:S:1:pos:R:3 pbc="T T T"
Ba 1.503 5.622 8.322
In 10.216 1.722 8.200
Na 0.000 0.000 0.000
In -0.170 0.000 5.613
Ba 6.989 5.437 2.558
In 5.316 3.686 -0.150
Ba 3.210 6.809 4.611
Ba 6.689 0.648 10.244
Ba 3.304 1.936 8.367
Ba 8.752 4.334 6.143
Ba 1.542 3.039 4.782
Ba 7.084 0.564 6.314
In 5.069 1.965 2.737
Ba 1.937 3.122 0.852
Ba 3.605 6.725 0.681
Ba 8.357 4.251 10.074
In 0.078 5.651 2.725
In 5.225 5.408 8.188
Na 5.147 3.686 5.463
Ba 8.790 1.751 2.604
```

energy above the most stable polymorph in this dataset	93	meV per atom
DOS at the Fermi energy	22.8	states/eV per cell
space-group type	No. 14
DFT formation energy	-1.536	eV/f.u.
size of the total moment	0.000	μB/atom
total DFT energy (no corrections)	-2.261	eV per atom
crystal system	monoclinic

=====

(2)
The following is a GGA-PBE calculation of AcLaPm2Sm6 after structural relaxation, from Alexandria via LeMat-Bulk.

The structure in extended XYZ format:
```
20
Lattice="-6.898 6.229 -3.353 -5.950 -4.601 5.190 4.912 6.691 3.823" Properties=species:S:1:pos:R:3 pbc="T T T"
Pm -4.548 3.750 5.319
Sm -10.472 3.546 2.354
La -6.693 4.677 2.118
Sm -0.268 7.455 3.180
Sm -3.476 9.604 3.241
Sm -4.189 2.012 2.451
Pm -3.387 4.568 0.341
Sm -2.593 0.806 5.175
Sm -4.460 -1.285 2.420
Sm -7.668 0.864 2.480
Sm -5.343 7.513 0.485
Sm -3.746 6.307 3.210
La -1.243 3.642 3.543
Pm -6.739 8.173 3.485
Ac -7.383 -2.741 4.315
Pm -1.196 0.145 2.176
Sm -5.846 0.439 5.650
Ac -0.553 11.060 1.345
Sm 2.537 4.772 3.306
Sm -2.089 7.879 0.011
```

DOS at the Fermi energy	31.1	states/eV per cell
space-group type	No. 15
DFT formation energy	1.222	eV/f.u.
size of the total moment	0.000	μB/atom
total DFT energy (no corrections)	-4.563	eV per atom
crystal system	monoclinic

=====

(3)
The following is a GGA-PBE calculation of AlPSCl2 after structural relaxation, from Alexandria via LeMat-Bulk.

The structure in extended XYZ format:
```
5
Lattice="4.572 0.000 0.000 0.000 4.572 0.000 0.000 0.000 5.010" Properties=species:S:1:pos:R:3 pbc="T T T"
Cl 2.286 0.000 0.000
P 2.286 2.286 2.505
Al 0.000 0.000 0.000
S 0.000 0.000 2.505
Cl 0.000 2.286 0.000
```

energy above the most stable polymorph in this dataset	0	meV per atom
DOS at the Fermi energy	1.3	states/eV per cell
space-group type	No. 123
size of the total moment	0.389	μB/atom
total DFT energy (no corrections)	-3.412	eV per atom
crystal system	tetragonal
formation energy without anion corrections	-0.017	eV/atom

=====

Number 1: density 4.5 Mg/m³. Number 2: density 7.2 Mg/m³. Number 3: density 2.6 Mg/m³.